# LaAl2O2

Crystalline LaAl2O2 at its relaxed geometry (PBE, Alexandria).

Results
The value obtained for the energy relative to the lowest polymorph listed for this composition is 0.6078 eV/atom. The value obtained for the formation energy from raw total energies is -109.3 kJ per mole of atoms.

Structure (CIF):
```
data_LaAl2O2
_symmetry_space_group_name_H-M 'P 4/m b m'
_symmetry_Int_Tables_number 127
_symmetry_space_group_name_Hall '-P 4 2ab'
_cell_length_a 7.796
_cell_length_b 7.796
_cell_length_c 3.061
_cell_angle_alpha 90.00
_cell_angle_beta 90.00
_cell_angle_gamma 90.00
loop_
_atom_site_label
_atom_site_type_symbol
_atom_site_fract_x
_atom_site_fract_y
_atom_site_fract_z
La1 La 0.000 0.000 0.000
Al1 Al 0.112 0.388 0.000
O1 O 0.201 0.299 0.500
```

# Ce6TlS12

Crystalline Ce6TlS12 at its relaxed geometry (PBE, Alexandria).

Results
The value obtained for the formation energy from raw total energies is -160.4 kJ per mole of atoms.

Structure (CIF):
```
data_Ce6TlS12
_symmetry_space_group_name_H-M 'R -3'
_symmetry_Int_Tables_number 148
_symmetry_space_group_name_Hall '-R 3'
_cell_length_a 12.4550
_cell_length_b 12.4550
_cell_length_c 11.0328
_cell_angle_alpha 90.00
_cell_angle_beta 90.00
_cell_angle_gamma 120.00
loop_
_atom_site_label
_atom_site_type_symbol
_atom_site_fract_x
_atom_site_fract_y
_atom_site_fract_z
Ce1 Ce 0.0492 0.2633 0.1514
Tl1 Tl 0.0000 0.0000 0.5000
S1 S 0.0369 0.2185 0.8947
S2 S 0.0478 0.2262 0.3959
```

# ThZn3Ir

Crystalline ThZn3Ir at its relaxed geometry (PBE, Alexandria).

Results
As for the energy of formation: -431 meV/atom.

Structure (CIF):
```
data_ThZn3Ir
_symmetry_space_group_name_H-M 'P 1 21/m 1'
_symmetry_Int_Tables_number 11
_cell_length_a 5.301
_cell_length_b 5.642
_cell_length_c 6.281
_cell_angle_alpha 90.00
_cell_angle_beta 91.70
_cell_angle_gamma 90.00
loop_
_symmetry_equiv_pos_as_xyz
'x,y,z'
'-x,-y,-z'
'-x,y+1/2,-z'
'x,-y+1/2,z'
loop_
_atom_site_label
_atom_site_type_symbol
_atom_site_fract_x
_atom_site_fract_y
_atom_site_fract_z
Th1 Th 0.156 0.250 0.154
Zn1 Zn 0.109 0.750 0.391
Zn2 Zn 0.350 0.019 0.678
Ir1 Ir 0.336 0.750 0.029
```

# Pu2CoRe

Crystalline Pu2CoRe at its relaxed geometry (PBE, Alexandria).

Results
As for the energy of formation: 582 meV/atom. The value obtained for the energy relative to the lowest polymorph listed for this composition is 0.4285 eV/atom.

Structure (CIF):
```
data_Pu2CoRe
_symmetry_space_group_name_H-M 'P 4/m m m'
_symmetry_Int_Tables_number 123
_symmetry_space_group_name_Hall '-P 4 2'
_cell_length_a 3.563
_cell_length_b 3.563
_cell_length_c 4.872
_cell_angle_alpha 90.00
_cell_angle_beta 90.00
_cell_angle_gamma 90.00
loop_
_atom_site_label
_atom_site_type_symbol
_atom_site_fract_x
_atom_site_fract_y
_atom_site_fract_z
Pu1 Pu 0.000 0.500 0.000
Co1 Co 0.000 0.000 0.500
Re1 Re 0.500 0.500 0.500
```

# RbLi2MnBr6

Crystalline RbLi2MnBr6 at its relaxed geometry (PBE, Alexandria).

Results
The value obtained for the formation energy from raw total energies is -113.3 kJ per mole of atoms.

Structure (CIF):
```
data_RbLi2MnBr6
_symmetry_space_group_name_H-M 'C 1 2/c 1'
_symmetry_Int_Tables_number 15
_cell_length_a 14.301
_cell_length_b 12.598
_cell_length_c 8.661
_cell_angle_alpha 90.00
_cell_angle_beta 114.51
_cell_angle_gamma 90.00
loop_
_symmetry_equiv_pos_as_xyz
'x,y,z'
'-x,-y,-z'
'-x,y,-z+1/2'
'x,-y,z+1/2'
'x+1/2,y+1/2,z'
'-x+1/2,-y+1/2,-z'
'-x+1/2,y+1/2,-z+1/2'
'x+1/2,-y+1/2,z+1/2'
loop_
_atom_site_label
_atom_site_type_symbol
_atom_site_fract_x
_atom_site_fract_y
_atom_site_fract_z
Rb1 Rb 0.000 0.147 0.250
Li1 Li 0.079 0.441 0.151
Mn1 Mn 0.000 0.189 0.750
Br1 Br 0.117 0.424 0.465
Br2 Br 0.120 0.253 0.019
Br3 Br 0.123 0.101 0.676
```

# NdHoIrRh

Crystalline NdHoIrRh at its relaxed geometry (PBE, Alexandria).

Results
As for the energy of formation: -741 meV/atom.

Structure (CIF):
```
data_NdHoIrRh
_symmetry_space_group_name_H-M 'F -4 3 m'
_symmetry_Int_Tables_number 216
_symmetry_space_group_name_Hall 'F -4 2 3'
_cell_length_a 6.958
_cell_length_b 6.958
_cell_length_c 6.958
_cell_angle_alpha 90.00
_cell_angle_beta 90.00
_cell_angle_gamma 90.00
loop_
_atom_site_label
_atom_site_type_symbol
_atom_site_fract_x
_atom_site_fract_y
_atom_site_fract_z
Nd1 Nd 0.000 0.000 0.000
Ho1 Ho 0.000 0.000 0.500
Ir1 Ir 0.250 0.250 0.250
Rh1 Rh 0.250 0.250 0.750
```

# Tc3BAs

Crystalline Tc3BAs at its relaxed geometry (PBE, Alexandria).

Results
As for the energy of formation: 310 meV/atom. The value obtained for the energy relative to the lowest polymorph listed for this composition is 0.0000 eV/atom.

Structure (CIF):
```
data_Tc3BAs
_symmetry_space_group_name_H-M 'P m -3 m'
_symmetry_Int_Tables_number 221
_symmetry_space_group_name_Hall '-P 4 2 3'
_cell_length_a 4.127
_cell_length_b 4.127
_cell_length_c 4.127
_cell_angle_alpha 90.00
_cell_angle_beta 90.00
_cell_angle_gamma 90.00
loop_
_atom_site_label
_atom_site_type_symbol
_atom_site_fract_x
_atom_site_fract_y
_atom_site_fract_z
Tc1 Tc 0.000 0.000 0.500
B1 B 0.000 0.000 0.000
As1 As 0.500 0.500 0.500
```

# TaSbW

Crystalline TaSbW at its relaxed geometry (PBE, Alexandria).

Results
The value obtained for the energy relative to the lowest polymorph listed for this composition is 0.1023 eV/atom. The value obtained for the formation energy from raw total energies is 41.6 kJ per mole of atoms.

Structure (CIF):
```
data_TaSbW
_symmetry_space_group_name_H-M 'F m m 2'
_symmetry_Int_Tables_number 42
_symmetry_space_group_name_Hall 'F 2 -2'
_cell_length_a 3.486
_cell_length_b 4.988
_cell_length_c 13.115
_cell_angle_alpha 90.00
_cell_angle_beta 90.00
_cell_angle_gamma 90.00
loop_
_atom_site_label
_atom_site_type_symbol
_atom_site_fract_x
_atom_site_fract_y
_atom_site_fract_z
Ta1 Ta 0.000 0.000 0.000
Sb1 Sb 0.000 0.000 0.326
W1 W 0.000 0.000 0.656
```

# SrTl2Ag2Br6

Crystalline SrTl2Ag2Br6 at its relaxed geometry (PBE, Alexandria).

Results
The value obtained for the formation energy from raw total energies is -94.2 kJ per mole of atoms.

Structure (CIF):
```
data_SrTl2Ag2Br6
_symmetry_space_group_name_H-M 'C 1 2/m 1'
_symmetry_Int_Tables_number 12
_cell_length_a 14.290
_cell_length_b 8.163
_cell_length_c 7.957
_cell_angle_alpha 90.00
_cell_angle_beta 118.93
_cell_angle_gamma 90.00
loop_
_symmetry_equiv_pos_as_xyz
'x,y,z'
'-x,-y,-z'
'-x,y,-z'
'x,-y,z'
'x+1/2,y+1/2,z'
'-x+1/2,-y+1/2,-z'
'-x+1/2,y+1/2,-z'
'x+1/2,-y+1/2,z'
loop_
_atom_site_label
_atom_site_type_symbol
_atom_site_fract_x
_atom_site_fract_y
_atom_site_fract_z
Sr1 Sr 0.000 0.000 0.000
Tl1 Tl 0.239 0.000 0.675
Ag1 Ag 0.061 0.500 0.714
Br1 Br 0.072 0.253 0.326
Br2 Br 0.232 0.000 0.084
```

# Ti2VRhN

Crystalline Ti2VRhN at its relaxed geometry (PBE, Alexandria).

Results
The value obtained for the formation energy from raw total energies is -87.3 kJ per mole of atoms.

Structure (CIF):
```
data_Ti2VRhN
_symmetry_space_group_name_H-M 'P 4/m m m'
_symmetry_Int_Tables_number 123
_symmetry_space_group_name_Hall '-P 4 2'
_cell_length_a 4.130
_cell_length_b 4.130
_cell_length_c 3.862
_cell_angle_alpha 90.00
_cell_angle_beta 90.00
_cell_angle_gamma 90.00
loop_
_atom_site_label
_atom_site_type_symbol
_atom_site_fract_x
_atom_site_fract_y
_atom_site_fract_z
Ti1 Ti 0.000 0.500 0.000
V1 V 0.000 0.000 0.500
Rh1 Rh 0.500 0.500 0.500
N1 N 0.000 0.000 0.000
```

# Mn2AlNi9

Crystalline Mn2AlNi9 at its relaxed geometry (PBE, Alexandria).

Results
As for the energy of formation: -213 meV/atom.

Structure (CIF):
```
data_Mn2AlNi9
_symmetry_space_group_name_H-M 'P 4/m m m'
_symmetry_Int_Tables_number 123
_symmetry_space_group_name_Hall '-P 4 2'
_cell_length_a 3.568
_cell_length_b 3.568
_cell_length_c 10.663
_cell_angle_alpha 90.00
_cell_angle_beta 90.00
_cell_angle_gamma 90.00
loop_
_atom_site_label
_atom_site_type_symbol
_atom_site_fract_x
_atom_site_fract_y
_atom_site_fract_z
Mn1 Mn 0.000 0.000 0.167
Al1 Al 0.000 0.000 0.500
Ni1 Ni 0.000 0.500 0.000
Ni2 Ni 0.000 0.500 0.334
Ni3 Ni 0.500 0.500 0.167
Ni4 Ni 0.500 0.500 0.500
```

# Sr2LiEu

Crystalline Sr2LiEu at its relaxed geometry (PBE, Alexandria).

Results
As for the energy of formation: 118 meV/atom. The value obtained for the energy relative to the lowest polymorph listed for this composition is 0.0831 eV/atom.

Structure (CIF):
```
data_Sr2LiEu
_symmetry_space_group_name_H-M 'F m -3 m'
_symmetry_Int_Tables_number 225
_symmetry_space_group_name_Hall '-F 4 2 3'
_cell_length_a 8.960
_cell_length_b 8.960
_cell_length_c 8.960
_cell_angle_alpha 90.00
_cell_angle_beta 90.00
_cell_angle_gamma 90.00
loop_
_atom_site_label
_atom_site_type_symbol
_atom_site_fract_x
_atom_site_fract_y
_atom_site_fract_z
Sr1 Sr 0.250 0.250 0.250
Li1 Li 0.000 0.000 0.000
Eu1 Eu 0.000 0.000 0.500
```

Number 1: total magnetization 0.000 μB/f.u., total DFT energy (no corrections) -56.0 eV/cell. Number 2: total magnetization 1.668 μB/f.u., total DFT energy (no corrections) -357.2 eV/cell. Number 3: total magnetization 0.000 μB/f.u., total DFT energy (no corrections) -44.5 eV/cell. Number 4: total magnetization 2.677 μB/f.u., total DFT energy (no corrections) -45.9 eV/cell. Number 5: total magnetization 3.995 μB/f.u., total DFT energy (no corrections) -143.0 eV/cell. Number 6: total magnetization 0.000 μB/f.u., total DFT energy (no corrections) -114.1 eV/cell. Number 7: total magnetization 2.067 μB/f.u., total DFT energy (no corrections) -40.9 eV/cell. Number 8: total magnetization 0.000 μB/f.u., total DFT energy (no corrections) -110.5 eV/cell. Number 9: total magnetization 0.000 μB/f.u., total DFT energy (no corrections) -65.8 eV/cell. Number 10: total magnetization 0.432 μB/f.u., total DFT energy (no corrections) -45.1 eV/cell. Number 11: total magnetization 9.983 μB/f.u., total DFT energy (no corrections) -76.7 eV/cell. Number 12: total magnetization 7.611 μB/f.u., total DFT energy (no corrections) -60.3 eV/cell.